Compound: Pr4Zn2N
Source: Alexandria via LeMat-Bulk
Functional: PBE
Structure: relaxed

## Properties
calculated density = 6.3 g/cm3
E = -4.691 eV per atom
E_form (uncorrected) = -0.406 eV/atom

Unit cell a=3.7559 b=7.6496 c=13.0806 alpha=90.00 beta=90.00 gamma=90.00
Element x y z (fractional)
Pr  0.5000  0.2832  0.9559
Pr  0.0000  0.3913  0.1847
Pr  0.5000  0.2168  0.4559
Pr  0.0000  0.6087  0.8153
Pr  0.5000  0.7832  0.5441
Pr  0.5000  0.7168  0.0441
Pr  0.0000  0.8913  0.3153
Pr  0.0000  0.1087  0.6847
Zn  0.5000  0.4192  0.6670
Zn  0.5000  0.9192  0.8330
Zn  0.5000  0.5808  0.3330
Zn  0.5000  0.0808  0.1670
N  0.0000  0.5000  0.0000
N  0.0000  0.0000  0.5000